(1)
! Nd2CdSn, optimized geometry, DFT PBE; values from VASP
&SYSTEM
  ibrav = 0, nat = 8, ntyp = 3
/
ATOMIC_SPECIES
Nd 144.24 Nd.upf
Cd 112.41 Cd.upf
Sn 118.71 Sn.upf
CELL_PARAMETERS angstrom
6.4193 0.0000 0.0000
0.0000 4.6225 0.0000
-3.0010 0.0000 8.1708
ATOMIC_POSITIONS crystal
Nd 0.2068 0.2500 0.4246
Nd 0.2130 0.2500 0.9299
Nd 0.7870 0.7500 0.0701
Nd 0.7932 0.7500 0.5754
Cd 0.3405 0.7500 0.2107
Cd 0.6595 0.2500 0.7893
Sn 0.3386 0.7500 0.7085
Sn 0.6614 0.2500 0.2915
! **Energy relative to the elements**: -0.508 eV/atom

(2)
! LiAgSe2, optimized geometry, DFT PBE; values from VASP
&SYSTEM
  ibrav = 0, nat = 12, ntyp = 3
/
ATOMIC_SPECIES
Li 6.94 Li.upf
Ag 107.87 Ag.upf
Se 78.96 Se.upf
CELL_PARAMETERS angstrom
3.9431 0.0000 0.0000
-1.9715 3.4148 0.0000
0.0000 0.0000 23.1400
ATOMIC_POSITIONS crystal
Li 0.0000 0.0000 0.0000
Li 0.3333 0.6667 0.6667
Li 0.6667 0.3333 0.3333
Ag 0.0000 0.0000 0.5000
Ag 0.3333 0.6667 0.1667
Ag 0.6667 0.3333 0.8333
Se 0.0000 0.0000 0.1046
Se 0.0000 0.0000 0.8954
Se 0.3333 0.6667 0.5620
Se 0.3333 0.6667 0.7713
Se 0.6667 0.3333 0.2287
Se 0.6667 0.3333 0.4380
! **Raw formation energy**: -144 meV/atom

(3)
! Mo3HAu, optimized geometry, DFT PBE; values from VASP
&SYSTEM
  ibrav = 0, nat = 5, ntyp = 3
/
ATOMIC_SPECIES
Mo 95.94 Mo.upf
H 1.01 H.upf
Au 196.97 Au.upf
CELL_PARAMETERS angstrom
4.0447 0.0000 0.0000
0.0000 4.0447 0.0000
0.0000 0.0000 4.0447
ATOMIC_POSITIONS crystal
Mo 0.0000 0.0000 0.5000
Mo 0.0000 0.5000 0.0000
Mo 0.5000 0.0000 0.0000
H 0.0000 0.0000 0.0000
Au 0.5000 0.5000 0.5000
! **Electronic total energy**: -0.5673 Ry/atom

(4)
! AgW2N, optimized geometry, DFT PBE; values from VASP
&SYSTEM
  ibrav = 0, nat = 16, ntyp = 3
/
ATOMIC_SPECIES
Ag 107.87 Ag.upf
W 183.84 W.upf
N 14.01 N.upf
CELL_PARAMETERS angstrom
4.9280 0.0000 0.0000
0.0000 4.9280 0.0000
0.0000 0.0000 11.6134
ATOMIC_POSITIONS crystal
Ag 0.0000 0.0000 0.0000
Ag 0.0000 0.5000 0.2500
Ag 0.5000 0.0000 0.7500
Ag 0.5000 0.5000 0.5000
W 0.1176 0.2500 0.6250
W 0.2500 0.6176 0.8750
W 0.2500 0.8824 0.3750
W 0.3824 0.2500 0.1250
W 0.6176 0.7500 0.1250
W 0.7500 0.1176 0.3750
W 0.7500 0.3824 0.8750
W 0.8824 0.7500 0.6250
N 0.0000 0.0000 0.5000
N 0.0000 0.5000 0.7500
N 0.5000 0.0000 0.2500
N 0.5000 0.5000 0.0000
! **Raw formation energy**: 934 meV/atom

(5)
! TcBr2N, optimized geometry, DFT PBE; values from VASP
&SYSTEM
  ibrav = 0, nat = 12, ntyp = 3
/
ATOMIC_SPECIES
Tc 98.00 Tc.upf
Br 79.90 Br.upf
N 14.01 N.upf
CELL_PARAMETERS angstrom
3.6171 0.0000 0.0000
-1.8086 3.1325 0.0000
0.0000 0.0000 22.0189
ATOMIC_POSITIONS crystal
Tc 0.0000 0.0000 0.0000
Tc 0.3333 0.6667 0.6667
Tc 0.6667 0.3333 0.3333
Br 0.0000 0.0000 0.4024
Br 0.0000 0.0000 0.5976
Br 0.3333 0.6667 0.0691
Br 0.3333 0.6667 0.2643
Br 0.6667 0.3333 0.7357
Br 0.6667 0.3333 0.9309
N 0.0000 0.0000 0.5000
N 0.3333 0.6667 0.1667
N 0.6667 0.3333 0.8333
! **Raw formation energy**: 1478 meV/atom

(6)
! Ca3Bi3Pd, optimized geometry, DFT PBE; values from VASP
&SYSTEM
  ibrav = 0, nat = 14, ntyp = 3
/
ATOMIC_SPECIES
Ca 40.08 Ca.upf
Bi 208.98 Bi.upf
Pd 106.42 Pd.upf
CELL_PARAMETERS angstrom
6.0068 -2.2779 0.0000
6.0068 2.2779 0.0000
-3.6668 0.0000 15.1165
ATOMIC_POSITIONS crystal
Ca 0.0463 0.0463 0.3918
Ca 0.0676 0.0676 0.9120
Ca 0.2483 0.2483 0.2321
Ca 0.7517 0.7517 0.7679
Ca 0.9324 0.9324 0.0880
Ca 0.9537 0.9537 0.6082
Bi 0.3404 0.3404 0.9277
Bi 0.3523 0.3523 0.4485
Bi 0.4655 0.4655 0.7615
Bi 0.5345 0.5345 0.2385
Bi 0.6477 0.6477 0.5515
Bi 0.6596 0.6596 0.0723
Pd 0.2741 0.2741 0.6178
Pd 0.7259 0.7259 0.3822
! **Energy relative to the elements**: -0.709 eV/atom